An optimized crystal structure of Pr2DyScO6, computed with PBE-GGA.

## Properties
Space-group type ... No. 14
V ... 14.35 Å³ per atom
Uncorrected formation energy ... -3304 kJ/mol of formula units

Structure (POSCAR):
```
Pr2DyScO6
1.0
-1.973 -1.271 -5.246
-4.710 -2.773 2.443
-4.261 7.175 -0.071
Pr Dy Sc O
4 2 2 12
direct
0.018 0.945 0.251 Pr
0.518 0.555 0.751 Pr
0.982 0.055 0.749 Pr
0.482 0.445 0.249 Pr
0.500 0.000 0.000 Dy
0.000 0.500 0.500 Dy
0.500 0.000 0.500 Sc
0.000 0.500 0.000 Sc
0.295 0.691 0.064 O
0.795 0.809 0.564 O
0.705 0.309 0.936 O
0.205 0.191 0.436 O
0.312 0.705 0.432 O
0.812 0.795 0.932 O
0.688 0.295 0.568 O
0.188 0.205 0.068 O
0.877 0.553 0.242 O
0.377 0.947 0.742 O
0.123 0.447 0.758 O
0.623 0.053 0.258 O
```



An optimized crystal structure of ZrHg4Se, computed with PBE-GGA.

## Properties
Space-group type ... No. 216
V ... 24.06 Å³ per atom
Uncorrected formation energy ... 177 kJ/mol of formula units

Structure (POSCAR):
```
ZrHg4Se
1.0
0.000 4.164 4.164
4.164 0.000 4.164
4.164 4.164 0.000
Zr Hg Se
1 4 1
direct
0.000 0.000 0.000 Zr
0.875 0.375 0.375 Hg
0.375 0.375 0.875 Hg
0.375 0.875 0.375 Hg
0.375 0.375 0.375 Hg
0.750 0.750 0.750 Se
```



An optimized crystal structure of LiH2Pb, computed with PBE-GGA.

## Properties
Space-group type ... No. 1
V ... 17.96 Å³ per atom
Relative energy among the computed polymorphs ... 58 meV per atom

Structure (POSCAR):
```
LiH2Pb
1.0
-2.456 2.138 0.650
-1.668 -0.215 -5.653
-4.430 -5.602 1.689
Li H Pb
2 4 2
direct
0.512 0.621 0.938 Li
0.008 0.402 0.228 Li
0.515 0.930 0.086 H
0.012 0.533 0.013 H
0.517 0.961 0.985 H
0.508 0.267 0.288 H
0.507 0.241 0.562 Pb
0.009 0.740 0.578 Pb
```



An optimized crystal structure of AcTeSe2, computed with PBE-GGA.

## Properties
Space-group type ... No. 123
V ... 31.20 Å³ per atom
Uncorrected formation energy ... -362 kJ/mol of formula units
Relative energy among the computed polymorphs ... 56 meV per atom

Structure (POSCAR):
```
AcTeSe2
1.0
4.206 0.000 0.000
0.000 4.206 0.000
0.000 0.000 7.055
Ac Te Se
1 1 2
direct
0.500 0.500 0.500 Ac
0.500 0.500 0.000 Te
0.000 0.000 0.679 Se
0.000 0.000 0.321 Se
```